VASP calculation (PBE with a Hubbard U) on an optimized crystal structure of MnAgF2.

Cell: 8.8927 8.8927 8.8927 Å, 20.75 20.75 20.75°
Last column: nearest neighbours and their distance in Å.
Fractional positions:
Mn 0.0000 0.0000 0.0000  6 F 2.13
Ag 0.5000 0.5000 0.5000  6 Ag 3.20, 2 F 3.30
F 0.3736 0.3736 0.3736  3 Mn 2.13
F 0.6264 0.6264 0.6264  3 Mn 2.13

Results
ΔE to the lowest computed polymorph = 0.000 eV/atom
calculated volume = 19.320 A^3/atom
symmetry = R-3m
total magnetization = 1.249 μB per atom

---

VASP calculation (PBE with a Hubbard U) on an optimized crystal structure of Mn3Ag5F12.

Cell: 12.3612 12.3612 12.3612 Å, 109.47 109.47 109.47°
Last column: nearest neighbours and their distance in Å.
Fractional positions:
Mn 0.1250 0.2500 0.3750  4 F 2.03
Mn 0.1250 0.3750 0.7500  4 F 2.03
Mn 0.2500 0.3750 0.1250  4 F 2.03
Mn 0.2500 0.8750 0.6250  4 F 2.03
Mn 0.3750 0.1250 0.2500  4 F 2.03
Mn 0.3750 0.7500 0.1250  4 F 2.03
Mn 0.6250 0.2500 0.8750  4 F 2.03
Mn 0.6250 0.8750 0.7500  4 F 2.03
Mn 0.7500 0.1250 0.3750  4 F 2.03
Mn 0.7500 0.6250 0.8750  4 F 2.03
Mn 0.8750 0.6250 0.2500  4 F 2.03
Mn 0.8750 0.7500 0.6250  4 F 2.03
Ag 0.0000 0.0000 0.0000  6 F 2.34
Ag 0.0000 0.0000 0.5000  6 F 2.34
Ag 0.0000 0.5000 0.0000  6 F 2.34
Ag 0.0000 0.5000 0.5000  6 F 2.34
Ag 0.1250 0.7500 0.8750  4 F 2.38
Ag 0.1250 0.8750 0.2500  4 F 2.38
Ag 0.2500 0.1250 0.8750  4 F 2.38
Ag 0.2500 0.6250 0.3750  4 F 2.38
Ag 0.3750 0.2500 0.6250  4 F 2.38
Ag 0.3750 0.6250 0.7500  4 F 2.38
Ag 0.5000 0.0000 0.0000  6 F 2.34
Ag 0.5000 0.0000 0.5000  6 F 2.34
Ag 0.5000 0.5000 0.0000  6 F 2.34
Ag 0.5000 0.5000 0.5000  6 F 2.34
Ag 0.6250 0.3750 0.2500  4 F 2.38
Ag 0.6250 0.7500 0.3750  4 F 2.38
Ag 0.7500 0.3750 0.6250  4 F 2.38
Ag 0.7500 0.8750 0.1250  4 F 2.38
Ag 0.8750 0.1250 0.7500  4 F 2.38
Ag 0.8750 0.2500 0.1250  4 F 2.38
F 0.0050 0.6820 0.6467  1 Mn 2.03
F 0.0050 0.8230 0.3583  1 Mn 2.03
F 0.0353 0.1820 0.1770  1 Mn 2.03
F 0.0353 0.3533 0.8583  1 Mn 2.03
F 0.1417 0.6770 0.4950  1 Mn 2.03
F 0.1417 0.9647 0.6467  1 Mn 2.03
F 0.1467 0.1820 0.5050  1 Mn 2.03
F 0.1467 0.4647 0.6417  1 Mn 2.03
F 0.1770 0.0353 0.1820  1 Mn 2.03
F 0.1770 0.6417 0.9950  1 Mn 2.03
F 0.1820 0.1770 0.0353  1 Mn 2.03
F 0.1820 0.5050 0.1467  1 Mn 2.03
F 0.3180 0.3533 0.9950  1 Mn 2.03
F 0.3180 0.4647 0.3230  1 Mn 2.03
F 0.3230 0.3180 0.4647  1 Mn 2.03
F 0.3230 0.5050 0.8583  1 Mn 2.03
F 0.3533 0.8583 0.0353  1 Mn 2.03
F 0.3533 0.9950 0.3180  1 Mn 2.03
F 0.3583 0.0050 0.8230  1 Mn 2.03
F 0.3583 0.8533 0.5353  1 Mn 2.03
F 0.4647 0.3230 0.3180  1 Mn 2.03
F 0.4647 0.6417 0.1467  1 Mn 2.03
F 0.4950 0.1417 0.6770  1 Mn 2.03
F 0.4950 0.8533 0.8180  1 Mn 2.03
F 0.5050 0.1467 0.1820  1 Mn 2.03
F 0.5050 0.8583 0.3230  1 Mn 2.03
F 0.5353 0.3583 0.8533  1 Mn 2.03
F 0.5353 0.6770 0.6820  1 Mn 2.03
F 0.6417 0.1467 0.4647  1 Mn 2.03
F 0.6417 0.9950 0.1770  1 Mn 2.03
F 0.6467 0.0050 0.6820  1 Mn 2.03
F 0.6467 0.1417 0.9647  1 Mn 2.03
F 0.6770 0.4950 0.1417  1 Mn 2.03
F 0.6770 0.6820 0.5353  1 Mn 2.03
F 0.6820 0.5353 0.6770  1 Mn 2.03
F 0.6820 0.6467 0.0050  1 Mn 2.03
F 0.8180 0.4950 0.8533  1 Mn 2.03
F 0.8180 0.8230 0.9647  1 Mn 2.03
F 0.8230 0.3583 0.0050  1 Mn 2.03
F 0.8230 0.9647 0.8180  1 Mn 2.03
F 0.8533 0.5353 0.3583  1 Mn 2.03
F 0.8533 0.8180 0.4950  1 Mn 2.03
F 0.8583 0.0353 0.3533  1 Mn 2.03
F 0.8583 0.3230 0.5050  1 Mn 2.03
F 0.9647 0.6467 0.1417  1 Mn 2.03
F 0.9647 0.8180 0.8230  1 Mn 2.03
F 0.9950 0.1770 0.6417  1 Mn 2.03
F 0.9950 0.3180 0.3533  1 Mn 2.03

Results
ΔE to the lowest computed polymorph = 0.136 eV/atom
calculated volume = 18.175 A^3/atom
symmetry = Ia-3d
total magnetization = 0.698 μB per atom

---

VASP calculation (PBE with a Hubbard U) on an optimized crystal structure of MnAg2F.

Cell: 4.5757 4.5757 4.5757 Å, 60.00 60.00 60.00°
Last column: nearest neighbours and their distance in Å.
Fractional positions:
Mn 0.0000 0.0000 0.0000  8 Ag 2.80
Ag 0.2500 0.2500 0.2500  4 F 2.80, 4 Mn 2.80
Ag 0.7500 0.7500 0.7500  4 F 2.80, 4 Mn 2.80
F 0.5000 0.5000 0.5000  8 Ag 2.80

Results
ΔE to the lowest computed polymorph = 0.194 eV/atom
calculated volume = 16.935 A^3/atom
symmetry = Fm-3m
total magnetization = 1.165 μB per atom

---

VASP calculation (PBE with a Hubbard U) on an optimized crystal structure of MnAgF3.

Cell: 4.1352 9.0639 9.0639 Å, 153.03 90.00 90.00°
Last column: nearest neighbours and their distance in Å.
Fractional positions:
Mn 0.2500 0.0768 0.9232  6 F 2.09-2.26
Mn 0.7500 0.9232 0.0768  6 F 2.09-2.26
Ag 0.2500 0.3684 0.7206  1 F 2.28
Ag 0.7500 0.7206 0.3684  1 F 2.28
F 0.2500 0.1671 0.7761  1 Mn 2.09, 1 Ag 2.28
F 0.2500 0.5857 0.4068  2 Mn 2.11-2.14
F 0.2500 0.9435 0.0460  3 Mn 2.12-2.26
F 0.7500 0.0460 0.9435  3 Mn 2.12-2.26
F 0.7500 0.4068 0.5857  2 Mn 2.11-2.14
F 0.7500 0.7761 0.1671  1 Mn 2.09, 1 Ag 2.28

Results
total energy = -51.35 eV for the cell shown
calculated volume = 15.408 A^3/atom
symmetry = Ama2
total magnetization = 1.000 μB per atom